# 1
## AsPb2WS (SCAN)

Data for AsPb2WS at its PBEsol-relaxed geometry.

- E_form (uncorrected): 1.205 eV/atom

Cell lengths 5.5458, 5.5458, 4.6728 Å; angles 90.00, 90.00, 90.00 degrees
With the nearest neighbours (Å) after each atom.
Atoms (fractional coordinates):
As 0.0000 0.0000 0.0000  2 W 2.34
Pb 0.0000 0.5000 0.0000  2 As 2.77
Pb 0.5000 0.0000 0.0000  2 As 2.77
W 0.0000 0.0000 0.5000  2 As 2.34
S 0.5000 0.5000 0.5000  8 Pb 3.63, 4 W 3.92

# 2
## SbAsPb2 (SCAN)

Data for SbAsPb2 at its PBEsol-relaxed geometry.

- E above lowest polymorph: 117 meV/atom
- E_form (uncorrected): 0.237 eV/atom

Cell lengths 5.2741, 5.2741, 5.2741 Å; angles 60.00, 60.00, 60.00 degrees
With the nearest neighbours (Å) after each atom.
Atoms (fractional coordinates):
Sb 0.0000 0.0000 0.0000  8 Pb 3.23
As 0.5000 0.5000 0.5000  8 Pb 3.23
Pb 0.2500 0.2500 0.2500  4 As 3.23, 4 Sb 3.23
Pb 0.7500 0.7500 0.7500  4 As 3.23, 4 Sb 3.23

# 3
## SbAs4Pb (SCAN)

Data for SbAs4Pb at its PBEsol-relaxed geometry.

- E_form (uncorrected): 0.419 eV/atom

Cell lengths 5.6910, 5.6910, 5.6910 Å; angles 60.00, 60.00, 60.00 degrees
With the nearest neighbours (Å) after each atom.
Atoms (fractional coordinates):
Sb 0.0000 0.0000 0.0000  12 As 3.33, 4 Pb 3.49
As 0.3715 0.3715 0.3715  6 As 2.77-2.92
As 0.3715 0.3715 0.8854  6 As 2.77-2.92
As 0.3715 0.8854 0.3715  6 As 2.77-2.92
As 0.8854 0.3715 0.3715  6 As 2.77-2.92
Pb 0.7500 0.7500 0.7500  12 As 3.35, 4 Sb 3.49

# 4
## SbAsPb2 (SCAN)

Data for SbAsPb2 at its PBEsol-relaxed geometry.

- E above lowest polymorph: 0 meV/atom
- E_form (uncorrected): 0.120 eV/atom

Cell lengths 6.2139, 6.2139, 6.2139 Å; angles 145.05, 128.97, 63.35 degrees
With the nearest neighbours (Å) after each atom.
Atoms (fractional coordinates):
Sb 0.0000 0.0000 0.0000  2 As 2.79
As 0.1961 0.6961 0.5000  2 Sb 2.79, 2 Pb 3.10
Pb 0.4303 0.4303 0.0000  2 As 3.10, 4 Sb 3.35
Pb 0.7135 0.2135 0.5000  4 As 3.27, 4 Sb 3.50-3.56, 4 Pb 3.52-3.53

# 5
## ScAs2Pb (SCAN)

Data for ScAs2Pb at its PBEsol-relaxed geometry.

- ΔH_f (0 K): -0.501 eV per atom

Cell lengths 6.9525, 6.9525, 6.9525 Å; angles 148.75, 148.07, 45.28 degrees
With the nearest neighbours (Å) after each atom.
Atoms (fractional coordinates):
Sc 0.0000 0.0000 0.0000  6 As 2.74
As 0.5449 0.5449 0.0000  4 Sc 2.74
As 0.8441 0.3441 0.5000  2 Sc 2.74, 4 Pb 2.99
Pb 0.2401 0.7401 0.5000  6 As 2.99-3.15

# 6
## ScAs2Pb (SCAN)

Data for ScAs2Pb at its PBEsol-relaxed geometry.

- ΔH_f (0 K): -0.290 eV per atom

Cell lengths 5.2204, 5.2204, 5.2204 Å; angles 133.30, 119.69, 79.57 degrees
With the nearest neighbours (Å) after each atom.
Atoms (fractional coordinates):
Sc 0.0000 0.0000 0.0000  4 As 2.81
As 0.2374 0.7374 0.5000  2 Sc 2.81, 2 Pb 2.95
As 0.7626 0.2626 0.5000  2 Sc 2.81, 2 Pb 2.95
Pb 0.5000 0.5000 0.0000  8 As 2.95-3.24

# 7
## ScAs2Pb (SCAN)

Data for ScAs2Pb at its PBEsol-relaxed geometry.

- ΔH_f (0 K): -0.337 eV per atom

Cell lengths 4.8073, 4.8073, 3.6492 Å; angles 90.00, 90.00, 90.00 degrees
With the nearest neighbours (Å) after each atom.
Atoms (fractional coordinates):
Sc 0.0000 0.0000 0.0000  8 As 3.02
As 0.0000 0.5000 0.5000  4 Pb 3.02, 4 Sc 3.02
As 0.5000 0.0000 0.5000  4 Pb 3.02, 4 Sc 3.02
Pb 0.5000 0.5000 0.0000  8 As 3.02

# 8
## ScAs2PbSe (SCAN)

Data for ScAs2PbSe at its PBEsol-relaxed geometry.

- E_form (uncorrected): -0.155 eV/atom

Cell lengths 5.0662, 5.0662, 5.0652 Å; angles 90.00, 90.00, 90.00 degrees
With the nearest neighbours (Å) after each atom.
Atoms (fractional coordinates):
Sc 0.0000 0.0000 0.0000  2 Se 2.53, 4 As 2.53
As 0.0000 0.5000 0.0000  2 Sc 2.53
As 0.5000 0.0000 0.0000  2 Sc 2.53
Pb 0.5000 0.5000 0.5000  8 As 3.58, 4 Se 3.58
Se 0.0000 0.0000 0.5000  2 Sc 2.53

# 9
## ScSiAsPb2 (SCAN)

Data for ScSiAsPb2 at its PBEsol-relaxed geometry.

- E_form (uncorrected): 0.809 eV/atom

Cell lengths 5.4677, 5.4677, 4.9671 Å; angles 90.00, 90.00, 90.00 degrees
With the nearest neighbours (Å) after each atom.
Atoms (fractional coordinates):
Sc 0.0000 0.0000 0.0000  2 Si 2.48, 4 Pb 2.73
Si 0.0000 0.0000 0.5000  2 Sc 2.48
As 0.5000 0.5000 0.5000  8 Pb 3.69, 4 Si 3.87
Pb 0.0000 0.5000 0.0000  2 Sc 2.73
Pb 0.5000 0.0000 0.0000  2 Sc 2.73

# 10
## ScAsPb2W (SCAN)

Data for ScAsPb2W at its PBEsol-relaxed geometry.

- ΔH_f (0 K): 0.742 eV per atom

Cell lengths 5.2941, 5.2941, 4.9652 Å; angles 90.00, 90.00, 90.00 degrees
With the nearest neighbours (Å) after each atom.
Atoms (fractional coordinates):
Sc 0.0000 0.0000 0.0000  2 W 2.48
As 0.5000 0.5000 0.0000  8 Pb 3.63, 4 Sc 3.74
Pb 0.0000 0.5000 0.5000  2 W 2.65
Pb 0.5000 0.0000 0.5000  2 W 2.65
W 0.0000 0.0000 0.5000  2 Sc 2.48, 4 Pb 2.65

# 11
## As2PbSe (SCAN)

Data for As2PbSe at its PBEsol-relaxed geometry.

- E above lowest polymorph: 176 meV/atom
- E_form (uncorrected): 0.163 eV/atom

Cell lengths 5.6529, 5.6529, 5.6529 Å; angles 142.46, 123.13, 70.16 degrees
With the nearest neighbours (Å) after each atom.
Atoms (fractional coordinates):
As 0.0000 0.0000 0.0000  2 As 2.52
As 0.8108 0.3108 0.5000  2 As 2.52
Pb 0.5002 0.5002 0.0000  2 Se 3.06, 8 As 3.21-3.40
Se 0.2341 0.7341 0.5000  2 As 2.83, 2 Pb 3.06

# 12
## As2PbSe (SCAN)

Data for As2PbSe at its PBEsol-relaxed geometry.

- E above lowest polymorph: 459 meV/atom
- E_form (uncorrected): 0.446 eV/atom

Cell lengths 3.2194, 3.2194, 9.2292 Å; angles 90.00, 90.00, 113.67 degrees
With the nearest neighbours (Å) after each atom.
Atoms (fractional coordinates):
As 0.0000 0.0000 0.2173  2 Se 2.67
As 0.0000 0.0000 0.7827  2 Se 2.67
Pb 0.5000 0.5000 0.5000  4 As 3.15, 6 Pb 3.22-3.52
Se 0.5000 0.5000 0.0000  4 As 2.67

For reference, theoretical density by record: 8.15; 9.78; 8.01; 9.60; 7.26; 7.67; 7.92; 6.14; 6.29; 8.57; 7.99; 8.26 Mg/m³.